Entry 1:
VASP calculation (GGA-PBEsol) on an optimized crystal structure of Re3Rh5.

Total magnetic moment = 0.00 Bohr magnetons per cell
Calculated volume = 13.77 A^3/atom
Energy of formation from the pure elements = -158 meV per atom
SG = Pm, No. 6
D(E_F) = 6.30 states/eV/cell
Offset from the most stable computed form = 4 meV/atom

Unit cell a=4.684 b=4.306 c=5.463 alpha=90.00 beta=90.27 gamma=90.00
Fractional positions:
Re (0.000, 0.000, 0.000)
Re (0.154, 0.500, 0.749)
Re (0.656, 0.500, 0.497)
Rh (0.159, 0.500, 0.252)
Rh (0.497, 0.000, 0.246)
Rh (0.501, 0.000, 0.749)
Rh (0.659, 0.500, 0.001)
Rh (0.990, 0.000, 0.498)



Entry 2:
VASP calculation (GGA-PBEsol) on an optimized crystal structure of Re3Rh.

Total magnetic moment = 0.00 Bohr magnetons per cell
Calculated volume = 14.23 A^3/atom
Energy of formation from the pure elements = -112 meV per atom
SG = Pmm2, No. 25
D(E_F) = 3.28 states/eV/cell

Unit cell a=2.723 b=4.383 c=4.769 alpha=90.00 beta=90.00 gamma=90.00
Fractional positions:
Re (0.000, 0.000, 0.000)
Re (0.000, 0.500, 0.329)
Re (0.500, 0.000, 0.502)
Rh (0.500, 0.500, 0.837)



Entry 3:
VASP calculation (GGA-PBEsol) on an optimized crystal structure of ReRh5.

Total magnetic moment = 0.00 Bohr magnetons per cell
Calculated volume = 13.58 A^3/atom
Energy of formation from the pure elements = -84 meV per atom
SG = Amm2, No. 38
D(E_F) = 5.85 states/eV/cell
Offset from the most stable computed form = 1 meV/atom

Unit cell a=4.309 b=7.139 c=7.139 alpha=21.78 beta=90.00 gamma=90.00
Fractional positions:
Re (0.000, 0.000, 0.000)
Rh (0.000, 0.337, 0.337)
Rh (0.000, 0.666, 0.666)
Rh (0.500, 0.225, 0.225)
Rh (0.500, 0.557, 0.557)
Rh (0.500, 0.890, 0.890)



Entry 4:
VASP calculation (GGA-PBEsol) on an optimized crystal structure of ReRh3.

Total magnetic moment = 0.00 Bohr magnetons per cell
Calculated volume = 13.76 A^3/atom
Energy of formation from the pure elements = -97 meV per atom
SG = P-6m2, No. 187
D(E_F) = 4.35 states/eV/cell
Offset from the most stable computed form = 7 meV/atom

Unit cell a=2.712 b=2.712 c=8.641 alpha=90.00 beta=90.00 gamma=120.00
Fractional positions:
Re (0.000, 0.000, 0.000)
Rh (0.000, 0.000, 0.500)
Rh (0.667, 0.333, 0.245)
Rh (0.667, 0.333, 0.755)



Entry 5:
VASP calculation (GGA-PBEsol) on an optimized crystal structure of ReRh2.

Total magnetic moment = 0.00 Bohr magnetons per cell
Calculated volume = 13.69 A^3/atom
Energy of formation from the pure elements = -193 meV per atom
SG = Cmcm, No. 63
D(E_F) = 4.67 states/eV/cell
Offset from the most stable computed form = 0 meV/atom

Unit cell a=4.680 b=4.680 c=4.316 alpha=90.00 beta=90.00 gamma=60.28
Fractional positions:
Re (0.169, 0.831, 0.750)
Re (0.831, 0.169, 0.250)
Rh (0.166, 0.500, 0.250)
Rh (0.500, 0.166, 0.750)
Rh (0.500, 0.834, 0.250)
Rh (0.834, 0.500, 0.750)



Entry 6:
VASP calculation (GGA-PBEsol) on an optimized crystal structure of ReRh3.

Total magnetic moment = 0.00 Bohr magnetons per cell
Calculated volume = 13.65 A^3/atom
Energy of formation from the pure elements = -100 meV per atom
SG = Pmm2, No. 25
D(E_F) = 3.88 states/eV/cell
Offset from the most stable computed form = 4 meV/atom

Unit cell a=2.700 b=4.304 c=4.699 alpha=90.00 beta=90.00 gamma=90.00
Fractional positions:
Re (0.000, 0.000, 0.000)
Rh (0.000, 0.500, 0.326)
Rh (0.500, 0.000, 0.498)
Rh (0.500, 0.500, 0.828)



Entry 7:
VASP calculation (GGA-PBEsol) on an optimized crystal structure of ReRh5.

Total magnetic moment = 0.00 Bohr magnetons per cell
Calculated volume = 13.69 A^3/atom
Energy of formation from the pure elements = -54 meV per atom
SG = P4/mmm, No. 123
D(E_F) = 6.15 states/eV/cell
Offset from the most stable computed form = 31 meV/atom

Unit cell a=2.683 b=2.683 c=11.411 alpha=90.00 beta=90.00 gamma=90.00
Fractional positions:
Re (0.000, 0.000, 0.000)
Rh (0.000, 0.000, 0.337)
Rh (0.000, 0.000, 0.663)
Rh (0.500, 0.500, 0.164)
Rh (0.500, 0.500, 0.500)
Rh (0.500, 0.500, 0.836)



Entry 8:
VASP calculation (GGA-PBEsol) on an optimized crystal structure of ReRh2.

Total magnetic moment = 0.00 Bohr magnetons per cell
Calculated volume = 13.78 A^3/atom
Energy of formation from the pure elements = -86 meV per atom
SG = Pmmm, No. 47
D(E_F) = 5.93 states/eV/cell
Offset from the most stable computed form = 107 meV/atom

Unit cell a=2.676 b=3.847 c=8.033 alpha=90.00 beta=90.00 gamma=90.00
Fractional positions:
Re (0.000, 0.000, 0.168)
Re (0.000, 0.000, 0.832)
Rh (0.000, 0.000, 0.500)
Rh (0.500, 0.500, 0.000)
Rh (0.500, 0.500, 0.328)
Rh (0.500, 0.500, 0.672)